1.
Crystalline Sr4Ag2Br at its relaxed geometry, computed with PBE.

a = 8.912 Å, b = 8.912 Å, c = 8.912 Å
α = 140.26°, β = 140.26°, γ = 57.45°
Fractional coordinates of all 7 atoms:
Sr  0.000  0.500  0.500
Sr  0.213  0.213  0.000
Sr  0.500  0.000  0.500
Sr  0.787  0.787  0.000
Ag  0.410  0.410  0.000
Ag  0.590  0.590  0.000
Br  0.000  0.000  0.000

symmetry: No. 139
calculated total energy: -2.43 eV per atom

2.
Crystalline TlInPd at its relaxed geometry, computed with PBE.

a = 6.068 Å, b = 3.753 Å, c = 6.369 Å
α = 90.00°, β = 95.37°, γ = 90.00°
Fractional coordinates of all 6 atoms:
Tl  0.107  0.250  0.236
Tl  0.893  0.750  0.764
In  0.380  0.250  0.667
In  0.620  0.750  0.333
Pd  0.322  0.750  0.973
Pd  0.678  0.250  0.027

symmetry: No. 11
energy relative to the elements: -0.144 eV per atom

3.
Crystalline Tb3CF3 at its relaxed geometry, computed with PBE.

a = 7.498 Å, b = 7.498 Å, c = 7.498 Å
α = 50.54°, β = 50.54°, γ = 50.54°
Fractional coordinates of all 14 atoms:
Tb  0.072  0.429  0.783
Tb  0.217  0.928  0.571
Tb  0.429  0.783  0.072
Tb  0.571  0.217  0.928
Tb  0.783  0.072  0.429
Tb  0.928  0.571  0.217
C  0.167  0.167  0.167
C  0.833  0.833  0.833
F  0.061  0.689  0.365
F  0.311  0.635  0.939
F  0.365  0.061  0.689
F  0.635  0.939  0.311
F  0.689  0.365  0.061
F  0.939  0.311  0.635

symmetry: No. 148
calculated total energy: -6.54 eV per atom

4.
Crystalline La2AlSn4 at its relaxed geometry, computed with PBE.

a = 8.815 Å, b = 8.815 Å, c = 8.815 Å
α = 145.29°, β = 145.29°, γ = 49.91°
Fractional coordinates of all 7 atoms:
La  0.132  0.132  0.000
La  0.868  0.868  0.000
Al  0.500  0.500  0.000
Sn  0.000  0.500  0.500
Sn  0.333  0.333  0.000
Sn  0.500  0.000  0.500
Sn  0.667  0.667  0.000

symmetry: No. 139
energy relative to the elements: -0.204 eV per atom

5.
Crystalline SiAgIr2Pt at its relaxed geometry, computed with PBE.

a = 4.402 Å, b = 4.402 Å, c = 4.584 Å
α = 90.00°, β = 90.00°, γ = 90.00°
Fractional coordinates of all 5 atoms:
Si  0.000  0.000  0.000
Ag  0.000  0.000  0.500
Ir  0.000  0.500  0.000
Ir  0.500  0.000  0.000
Pt  0.500  0.500  0.500

symmetry: No. 123
calculated total energy: -5.64 eV per atom

6.
Crystalline La2DyCd at its relaxed geometry, computed with PBE.

a = 3.793 Å, b = 3.793 Å, c = 9.086 Å
α = 90.00°, β = 90.00°, γ = 90.00°
Fractional coordinates of all 4 atoms:
La  0.000  0.000  0.230
La  0.000  0.000  0.770
Dy  0.500  0.500  0.500
Cd  0.500  0.500  0.000

symmetry: No. 123
energy relative to the elements: -0.133 eV per atom

Number 1: Fermi-level density of states 6.88 states/eV/f.u., calculated volume 40.97 A^3/atom. Number 2: Fermi-level density of states 1.35 states/eV/f.u., calculated volume 24.07 A^3/atom. Number 3: Fermi-level density of states 3.23 states/eV/f.u., calculated volume 16.53 A^3/atom. Number 4: Fermi-level density of states 4.45 states/eV/f.u., calculated volume 31.58 A^3/atom. Number 5: Fermi-level density of states 5.48 states/eV/f.u., calculated volume 17.77 A^3/atom. Number 6: Fermi-level density of states 5.37 states/eV/f.u., calculated volume 32.68 A^3/atom.